Computed, not measured: a relaxed structure of Ac2SmCo at the PBE-GGA level of DFT.

Structure (POSCAR):
```
Ac2SmCo
1.0
4.0905 0.0000 -1.0398
-0.3759 5.2884 -1.4791
-0.4252 -0.9691 6.8800
Ac Sm Co
2 1 1
direct
0.1592 0.1683 0.3191 Ac
0.8408 0.8495 0.6809 Ac
0.5000 0.5090 0.0000 Sm
0.5000 0.0092 0.0000 Co
```

Calculated values
- formation energy (eV per atom) = -0.026

=====

Computed, not measured: a relaxed structure of AcSmCo at the PBE-GGA level of DFT.

Structure (POSCAR):
```
AcSmCo
1.0
-1.6291 3.1040 -0.7316
-0.4168 -1.0217 -3.4068
-4.8940 -3.7822 3.6152
Ac Co Sm
1 1 1
direct
0.2966 0.2966 0.5932 Ac
0.6584 0.6584 0.3167 Co
0.0450 0.0450 0.0901 Sm
```

Calculated values
- formation energy (eV per atom) = 0.085

=====

Computed, not measured: a relaxed structure of AcSm3Co2 at the PBE-GGA level of DFT.

Structure (POSCAR):
```
AcSm3Co2
1.0
0.0031 -0.9748 3.7304
7.3691 -4.6749 0.7649
6.2114 7.2638 3.8854
Ac Sm Co
2 6 4
direct
0.8475 0.5577 0.7474 Ac
0.1525 0.4423 0.2526 Ac
0.1575 0.9387 0.7463 Sm
0.8425 0.0613 0.2537 Sm
0.4136 0.2205 0.9523 Sm
0.5864 0.7795 0.0477 Sm
0.5911 0.2597 0.5582 Sm
0.4089 0.7403 0.4418 Sm
0.2352 0.5767 0.9529 Co
0.7648 0.4233 0.0471 Co
0.7658 0.9222 0.5462 Co
0.2342 0.0778 0.4538 Co
```

Calculated values
- formation energy (eV per atom) = -0.047

=====

Computed, not measured: a relaxed structure of AcSmCo at the PBE-GGA level of DFT.

Structure (POSCAR):
```
AcSmCo
1.0
4.9537 0.0000 0.0000
2.4769 4.2900 0.0000
2.4769 1.4300 4.0447
Ac Co Sm
1 1 1
direct
0.0000 0.0000 0.0000 Ac
0.2500 0.2500 0.2500 Co
0.5000 0.5000 0.5000 Sm
```

Calculated values
- formation energy (eV per atom) = 0.095

=====

Computed, not measured: a relaxed structure of AcSm3Co at the PBE-GGA level of DFT.

Structure (POSCAR):
```
AcSm3Co
1.0
-0.6239 0.2266 -5.4404
4.3342 -3.2941 -0.6342
-3.2961 -4.3745 0.1958
Ac Co Sm
1 1 3
direct
0.5000 0.5000 0.5000 Ac
0.0000 0.0000 0.0000 Co
0.0000 0.5000 0.0000 Sm
0.0000 0.0000 0.5000 Sm
0.5000 0.0000 0.0000 Sm
```

Calculated values
- formation energy (eV per atom) = 0.029

=====

Computed, not measured: a relaxed structure of AcSm2Co2 at the PBE-GGA level of DFT.

Structure (POSCAR):
```
AcSm2Co2
1.0
4.0473 0.0000 0.0000
0.0000 3.8194 -1.0858
0.0000 0.3261 8.4074
Ac Sm Co
1 2 2
direct
0.0000 0.0000 0.0000 Ac
0.5000 0.6568 0.3135 Sm
0.5000 0.3432 0.6865 Sm
0.0000 0.2179 0.4357 Co
0.0000 0.7821 0.5643 Co
```

Calculated values
- formation energy (eV per atom) = -0.048

=====

Computed, not measured: a relaxed structure of AcSmZnCo at the PBE-GGA level of DFT.

Structure (POSCAR):
```
AcSmZnCo
1.0
-3.0783 -0.3370 4.1355
-2.7161 -4.3110 0.8540
1.2694 -3.1194 3.9179
Ac Co Zn Sm
1 1 1 1
direct
0.5000 0.5000 0.5000 Ac
0.2500 0.2500 0.2500 Co
0.7500 0.7500 0.7500 Zn
0.0000 0.0000 0.0000 Sm
```

Calculated values
- formation energy (eV per atom) = -0.033

=====

Computed, not measured: a relaxed structure of Ac8Co2Sn at the PBE-GGA level of DFT.

Structure (POSCAR):
```
Ac8Co2Sn
1.0
5.6342 -0.2333 -0.1771
-0.1991 8.8321 -0.4536
-0.1991 1.9413 8.6280
Ac Co Sn
8 2 1
direct
0.1915 0.3697 0.8906 Ac
0.8085 0.1094 0.6303 Ac
0.3476 0.8194 0.8194 Ac
0.6524 0.1806 0.1806 Ac
0.1915 0.8906 0.3697 Ac
0.8085 0.6303 0.1094 Ac
0.7497 0.5970 0.5970 Ac
0.2503 0.4030 0.4030 Ac
0.8547 0.8022 0.8022 Co
0.1453 0.1978 0.1978 Co
0.0000 0.0000 0.0000 Sn
```

Calculated values
- formation energy (eV per atom) = 0.050

=====

Computed, not measured: a relaxed structure of Ac12CoSn6 at the PBE-GGA level of DFT.

Structure (POSCAR):
```
Ac12CoSn6
1.0
9.3434 -0.0288 -0.0345
-1.4450 9.2310 -0.0345
-1.4450 -1.6835 9.0763
Ac Co Sn
12 1 6
direct
0.8084 0.5725 0.4358 Ac
0.4358 0.8084 0.5725 Ac
0.5725 0.4358 0.8084 Ac
0.1916 0.4275 0.5642 Ac
0.5642 0.1916 0.4275 Ac
0.4275 0.5642 0.1916 Ac
0.0514 0.9983 0.3122 Ac
0.0017 0.6878 0.9486 Ac
0.6878 0.9486 0.0017 Ac
0.9486 0.0017 0.6878 Ac
0.9983 0.3122 0.0514 Ac
0.3122 0.0514 0.9983 Ac
0.0000 0.0000 0.0000 Co
0.6890 0.8770 0.3498 Sn
0.6502 0.3110 0.1230 Sn
0.1230 0.6502 0.3110 Sn
0.3110 0.1230 0.6502 Sn
0.3498 0.6890 0.8770 Sn
0.8770 0.3498 0.6890 Sn
```

Calculated values
- formation energy (eV per atom) = -0.361

=====

Computed, not measured: a relaxed structure of Ac7CoSn4 at the PBE-GGA level of DFT.

Structure (POSCAR):
```
Ac7CoSn4
1.0
5.6533 0.0000 0.0000
2.8266 9.7538 0.3866
2.8266 0.8466 8.4193
Ac Co Sn
7 1 4
direct
0.7851 0.8673 0.5625 Ac
0.2149 0.1327 0.4375 Ac
0.0743 0.7320 0.1195 Ac
0.9257 0.2680 0.8805 Ac
0.3598 0.5480 0.7325 Ac
0.5000 0.0000 0.0000 Ac
0.6402 0.4520 0.2675 Ac
0.0000 0.0000 0.0000 Co
0.5779 0.2213 0.6228 Sn
0.4221 0.7787 0.3772 Sn
0.7252 0.6517 0.8978 Sn
0.2748 0.3483 0.1022 Sn
```

Calculated values
- formation energy (eV per atom) = -0.340

=====

Computed, not measured: a relaxed structure of Ac5CoSn4 at the PBE-GGA level of DFT.

Structure (POSCAR):
```
Ac5CoSn4
1.0
-4.9254 4.1162 -0.3273
-6.7325 -2.7698 3.3747
-0.4425 4.9870 6.2706
Ac Co Sn
5 1 4
direct
0.8838 0.3590 0.8756 Ac
0.2428 0.8756 0.6410 Ac
0.7593 0.1244 0.3590 Ac
0.1183 0.6410 0.1244 Ac
0.5012 0.0000 0.0000 Ac
0.0006 0.0000 0.0000 Co
0.4399 0.4088 0.7135 Sn
0.8487 0.7135 0.5912 Sn
0.1534 0.2865 0.4088 Sn
0.5622 0.5912 0.2865 Sn
```

Calculated values
- formation energy (eV per atom) = -0.335

=====

Computed, not measured: a relaxed structure of Ac4CoSn2 at the PBE-GGA level of DFT.

Structure (POSCAR):
```
Ac4CoSn2
1.0
6.6794 0.0000 -0.7108
0.0000 7.3981 0.0000
-3.2799 0.0000 10.1654
Ac Co Sn
8 2 4
direct
0.4774 0.5024 0.2512 Ac
0.1158 0.7500 0.9028 Ac
0.8842 0.2500 0.0972 Ac
0.4774 0.9976 0.2512 Ac
0.8965 0.2500 0.5988 Ac
0.5226 0.0024 0.7488 Ac
0.5226 0.4976 0.7488 Ac
0.1035 0.7500 0.4012 Ac
0.1314 0.7500 0.1581 Co
0.8686 0.2500 0.8419 Co
0.7107 0.7500 0.0570 Sn
0.2893 0.2500 0.9430 Sn
0.2581 0.2500 0.4426 Sn
0.7419 0.7500 0.5574 Sn
```

Calculated values
- formation energy (eV per atom) = -0.425

=====

Computed, not measured: a relaxed structure of Ac3Co2Sn4 at the PBE-GGA level of DFT.

Structure (POSCAR):
```
Ac3Co2Sn4
1.0
4.6497 0.0000 0.0000
-2.3248 6.0403 -0.9402
0.0000 -0.0959 9.1550
Ac Co Sn
3 2 4
direct
0.6517 0.3034 0.6542 Ac
0.0000 0.0000 0.0000 Ac
0.3483 0.6966 0.3458 Ac
0.5977 0.1954 0.2798 Co
0.4023 0.8046 0.7202 Co
0.7213 0.4427 0.0868 Sn
0.2787 0.5573 0.9132 Sn
0.9323 0.8647 0.6262 Sn
0.0677 0.1353 0.3738 Sn
```

Calculated values
- formation energy (eV per atom) = -0.443

=====

Computed, not measured: a relaxed structure of Ac4CoSn2 at the PBE-GGA level of DFT.

Structure (POSCAR):
```
Ac4CoSn2
1.0
-4.2798 2.1383 -2.2500
-2.3357 -4.7426 -0.0643
-0.1678 2.9036 9.2900
Ac Co Sn
4 1 2
direct
0.8259 0.8259 0.6517 Ac
0.1741 0.1741 0.3483 Ac
0.0000 0.5000 0.0000 Ac
0.5000 0.0000 0.0000 Ac
0.0000 0.0000 0.0000 Co
0.6385 0.6385 0.2769 Sn
0.3615 0.3615 0.7231 Sn
```

Calculated values
- formation energy (eV per atom) = -0.415

=====

Computed, not measured: a relaxed structure of Ac2CoSn8 at the PBE-GGA level of DFT.

Structure (POSCAR):
```
Ac2CoSn8
1.0
4.7943 0.0000 0.0000
0.0000 4.7943 0.0000
0.0000 0.0000 12.9109
Ac Co Sn
2 1 8
direct
0.0000 0.0000 0.3059 Ac
0.0000 0.0000 0.6941 Ac
0.0000 0.0000 0.0000 Co
0.0000 0.5000 0.5000 Sn
0.5000 0.0000 0.5000 Sn
0.5000 0.5000 0.3042 Sn
0.5000 0.5000 0.6958 Sn
0.0000 0.5000 0.1135 Sn
0.5000 0.0000 0.1135 Sn
0.0000 0.5000 0.8865 Sn
0.5000 0.0000 0.8865 Sn
```

Calculated values
- formation energy (eV per atom) = -0.347

=====

Computed, not measured: a relaxed structure of AcCoSn2 at the PBE-GGA level of DFT.

Structure (POSCAR):
```
AcCoSn2
1.0
4.0572 0.0000 0.0000
2.0286 3.5137 0.0000
2.0286 1.1712 8.7987
Ac Co Sn
1 1 2
direct
0.0000 0.0000 0.0000 Ac
0.5000 0.5000 0.5000 Co
0.1259 0.1259 0.6223 Sn
0.8741 0.8741 0.3777 Sn
```

Calculated values
- formation energy (eV per atom) = 0.219

=====

Computed, not measured: a relaxed structure of Ac12Co5Sn3 at the PBE-GGA level of DFT.

Structure (POSCAR):
```
Ac12Co5Sn3
1.0
-0.8199 -14.8491 4.6701
3.2555 0.4827 -15.2364
11.2268 7.3339 7.9469
Sn Co Ac
12 20 48
direct
0.7500 0.3750 0.1250 Sn
0.8750 0.7500 0.1250 Sn
0.3750 0.7500 0.6250 Sn
0.2500 0.1250 0.3750 Sn
0.8750 0.1250 0.2500 Sn
0.3750 0.6250 0.2500 Sn
0.6250 0.3750 0.7500 Sn
0.1250 0.8750 0.7500 Sn
0.7500 0.8750 0.6250 Sn
0.6250 0.2500 0.3750 Sn
0.1250 0.2500 0.8750 Sn
0.2500 0.6250 0.8750 Sn
0.1250 0.3750 0.2500 Co
0.0000 0.5000 0.0000 Co
0.0000 0.0000 0.0000 Co
0.3750 0.2500 0.1250 Co
0.5000 0.0000 0.5000 Co
0.5000 0.5000 0.0000 Co
0.1250 0.7500 0.3750 Co
0.7500 0.1250 0.8750 Co
0.7500 0.6250 0.3750 Co
0.3750 0.1250 0.7500 Co
0.6250 0.8750 0.2500 Co
0.5000 0.5000 0.5000 Co
0.5000 0.0000 0.0000 Co
0.0000 0.0000 0.5000 Co
0.2500 0.3750 0.6250 Co
0.2500 0.8750 0.1250 Co
0.0000 0.5000 0.5000 Co
0.8750 0.2500 0.6250 Co
0.6250 0.7500 0.8750 Co
0.8750 0.6250 0.7500 Co
0.7024 0.1186 0.0229 Ac
0.3205 0.5229 0.4043 Ac
0.9771 0.3814 0.2976 Ac
0.5229 0.2024 0.1186 Ac
0.5838 0.7024 0.6795 Ac
0.9771 0.5957 0.1795 Ac
0.3205 0.7976 0.4162 Ac
0.0957 0.9162 0.1186 Ac
0.5957 0.9771 0.6795 Ac
0.7024 0.5838 0.1795 Ac
0.7976 0.4771 0.3814 Ac
0.8205 0.9043 0.0229 Ac
0.1186 0.7024 0.5229 Ac
0.3814 0.4043 0.0838 Ac
0.0838 0.9043 0.3814 Ac
0.4162 0.1186 0.5957 Ac
0.0838 0.1795 0.2024 Ac
0.4771 0.6795 0.0957 Ac
0.8205 0.9162 0.2976 Ac
0.1186 0.4162 0.0957 Ac
0.3814 0.9771 0.7976 Ac
0.5957 0.6186 0.4162 Ac
0.9043 0.8205 0.5229 Ac
0.7976 0.3205 0.9162 Ac
0.4043 0.3814 0.5838 Ac
0.0957 0.1795 0.4771 Ac
0.2024 0.6795 0.0838 Ac
0.1795 0.0838 0.7024 Ac
0.6186 0.0229 0.2024 Ac
0.8814 0.5838 0.9043 Ac
0.5229 0.3205 0.9043 Ac
0.5838 0.8814 0.4043 Ac
0.9162 0.8205 0.7976 Ac
0.9162 0.0957 0.6186 Ac
0.8814 0.2976 0.4771 Ac
0.1795 0.0957 0.9771 Ac
0.6186 0.5957 0.9162 Ac
0.4043 0.0229 0.3205 Ac
0.2976 0.4162 0.8205 Ac
0.2024 0.5229 0.6186 Ac
0.9043 0.0838 0.8814 Ac
0.6795 0.2024 0.5838 Ac
0.4771 0.7976 0.8814 Ac
0.0229 0.4043 0.8205 Ac
0.4162 0.2976 0.3205 Ac
0.0229 0.6186 0.7024 Ac
0.6795 0.4771 0.5957 Ac
0.2976 0.8814 0.9771 Ac
```

Calculated values
- formation energy (eV per atom) = -0.071

=====

Computed, not measured: a relaxed structure of Ac6Co3Sn at the PBE-GGA level of DFT.

Structure (POSCAR):
```
Ac6Co3Sn
1.0
4.2133 0.0000 0.0000
0.0000 11.4057 -5.8782
0.0000 -1.0156 14.2718
Ac Co Sn
12 6 2
direct
0.2500 0.4048 0.5634 Ac
0.7500 0.5952 0.4366 Ac
0.2500 0.9218 0.0621 Ac
0.7500 0.0782 0.9379 Ac
0.2500 0.9350 0.6538 Ac
0.7500 0.0650 0.3462 Ac
0.2500 0.7768 0.3172 Ac
0.7500 0.2232 0.6828 Ac
0.2500 0.5354 0.8827 Ac
0.7500 0.4646 0.1173 Ac
0.2500 0.2784 0.2355 Ac
0.7500 0.7216 0.7645 Ac
0.2500 0.0357 0.4991 Co
0.7500 0.9643 0.5009 Co
0.2500 0.5337 0.2894 Co
0.7500 0.4663 0.7106 Co
0.2500 0.8887 0.8400 Co
0.7500 0.1113 0.1600 Co
0.2500 0.2684 0.8938 Sn
0.7500 0.7316 0.1062 Sn
```

Calculated values
- formation energy (eV per atom) = -0.141

=====

Computed, not measured: a relaxed structure of AcCoSn2 at the PBE-GGA level of DFT.

Structure (POSCAR):
```
AcCoSn2
1.0
4.5991 0.0000 0.0000
0.0000 7.6551 0.0000
0.0000 0.0000 11.5457
Ac Co Sn
4 4 8
direct
0.7500 0.6791 0.3707 Ac
0.7500 0.1791 0.1293 Ac
0.2500 0.3209 0.6293 Ac
0.2500 0.8209 0.8707 Ac
0.2500 0.0081 0.3607 Co
0.7500 0.9919 0.6393 Co
0.2500 0.5081 0.1393 Co
0.7500 0.4919 0.8607 Co
0.7500 0.6287 0.0641 Sn
0.2500 0.3713 0.9359 Sn
0.7500 0.1287 0.4359 Sn
0.2500 0.8713 0.5641 Sn
0.7500 0.1521 0.8287 Sn
0.2500 0.3479 0.3287 Sn
0.7500 0.6521 0.6713 Sn
0.2500 0.8479 0.1713 Sn
```

Calculated values
- formation energy (eV per atom) = -0.461

=====

Computed, not measured: a relaxed structure of Ac2CoSn at the PBE-GGA level of DFT.

Structure (POSCAR):
```
Ac2CoSn
1.0
3.6984 0.0000 0.0000
0.0000 3.6984 0.0000
0.0000 0.0000 8.5129
Ac Co Sn
2 1 1
direct
0.0000 0.0000 0.7887 Ac
0.0000 0.0000 0.2113 Ac
0.5000 0.5000 0.0000 Co
0.5000 0.5000 0.5000 Sn
```

Calculated values
- formation energy (eV per atom) = -0.181